P.
DFT (GGA-PBE) results for an optimized crystal structure of PmPrCuPd.

Its mass density is 7.746 g/cm3. The symmetry is Amm2, No. 38.

Cell lengths 3.8958, 4.6137, 5.7755 Å; angles 90.00, 109.71, 90.00 degrees
Fractional coordinates of all 4 atoms:
1 Pd 0.5763 0.5000 0.1525
2 Pr 0.8609 0.5000 0.7219
3 Pm 0.1375 0.0000 0.2750
4 Cu 0.4253 0.0000 0.8506

Q.
DFT (GGA-PBE) results for an optimized crystal structure of PmPrCuPd.

Its mass density is 7.997 g/cm3. The symmetry is F-43m, No. 216.

Cell lengths 5.1155, 5.1155, 5.1155 Å; angles 60.00, 60.00, 60.00 degrees
Fractional coordinates of all 4 atoms:
1 Pm 0.0000 0.0000 0.0000
2 Pd 0.7500 0.7500 0.7500
3 Cu 0.2500 0.2500 0.2500
4 Pr 0.5000 0.5000 0.5000

Which of them is least stable? Easy: Q.

P.
DFT (GGA-PBE) results for an optimized crystal structure of PmSmCuPd.

Its mass density is 8.415 g/cm3. The symmetry is F-43m, No. 216.

Cell lengths 5.0640, 5.0640, 5.0640 Å; angles 60.00, 60.00, 60.00 degrees
Fractional coordinates of all 4 atoms:
1 Cu 0.2500 0.2500 0.2500
2 Pm 0.0000 0.0000 0.0000
3 Sm 0.5000 0.5000 0.5000
4 Pd 0.7500 0.7500 0.7500

Q.
DFT (GGA-PBE) results for an optimized crystal structure of PmSmCuPd.

Its mass density is 8.138 g/cm3. The symmetry is Amm2, No. 38.

Cell lengths 3.8502, 4.5948, 5.7019 Å; angles 90.00, 109.73, 90.00 degrees
Fractional coordinates of all 4 atoms:
1 Pd 0.5765 0.5000 0.1531
2 Cu 0.4240 0.0000 0.8481
3 Pm 0.8612 0.5000 0.7225
4 Sm 0.1382 0.0000 0.2763

Which of them is least stable? Easy: P.

P.
DFT (GGA-PBE) results for an optimized crystal structure of TbPmCuPd.

Its mass density is 8.788 g/cm3. The symmetry is F-43m, No. 216.

Cell lengths 5.0217, 5.0217, 5.0217 Å; angles 60.00, 60.00, 60.00 degrees
Fractional coordinates of all 4 atoms:
1 Pm 0.5000 0.5000 0.5000
2 Tb 0.0000 0.0000 0.0000
3 Pd 0.7500 0.7500 0.7500
4 Cu 0.2500 0.2500 0.2500

Q.
DFT (GGA-PBE) results for an optimized crystal structure of TbPmCuPd.

Its mass density is 8.494 g/cm3. The symmetry is Amm2, No. 38.

Cell lengths 3.8020, 4.5618, 5.6698 Å; angles 90.00, 109.59, 90.00 degrees
Fractional coordinates of all 4 atoms:
1 Cu 0.4239 0.0000 0.8479
2 Pm 0.8602 0.5000 0.7205
3 Pd 0.5785 0.5000 0.1571
4 Tb 0.1373 0.0000 0.2746

Which of them is least stable? Easy: P.

P.
DFT (GGA-PBE) results for an optimized crystal structure of PmYCuPd.

Its mass density is 7.498 g/cm3. The symmetry is F-43m, No. 216.

Cell lengths 5.0197, 5.0197, 5.0197 Å; angles 60.00, 60.00, 60.00 degrees
Fractional coordinates of all 4 atoms:
1 Cu 0.0000 0.0000 0.0000
2 Y 0.7500 0.7500 0.7500
3 Pd 0.5000 0.5000 0.5000
4 Pm 0.2500 0.2500 0.2500

Q.
DFT (GGA-PBE) results for an optimized crystal structure of PmYCuPd.

Its mass density is 7.245 g/cm3. The symmetry is Amm2, No. 38.

Cell lengths 3.8176, 4.5871, 5.6203 Å; angles 90.00, 109.85, 90.00 degrees
Fractional coordinates of all 4 atoms:
1 Y 0.8624 0.5000 0.7249
2 Pm 0.1395 0.0000 0.2790
3 Pd 0.5757 0.5000 0.1514
4 Cu 0.4224 0.0000 0.8448

Which of them is least stable? Easy: P.